VASP calculation (PBE) on a geometry-optimized Ho3AlAg2 structure.

Cell: 3.5713 3.5713 10.9748 Å, 90.00 90.00 90.00°
With the nearest neighbours (Å) after each atom.
Fractional positions:
Al 0.5000 0.5000 0.5000  8 Ho 3.11
Ho 0.0000 0.0000 0.3347  4 Ag 3.10, 4 Al 3.11
Ho 0.0000 0.0000 0.6653  4 Ag 3.10, 4 Al 3.11
Ho 0.0000 0.0000 0.0000  8 Ag 3.14
Ag 0.5000 0.5000 0.1704  8 Ho 3.10-3.14
Ag 0.5000 0.5000 0.8296  8 Ho 3.10-3.14

Values from the calculation:
As for the calculated volume: 139.97 Å³ per cell. The spin magnetization is 0.001 μB per cell. As for the raw total energy: -25.309 eV for the cell shown.